[1]
A plane-wave DFT calculation with PBE was carried out for a relaxed structure of Sr2CaSe.

Calculated values
Size of the total moment = 0.00 Bohr magnetons per cell
Theoretical density = 3.0 g/cm³
Formation energy from raw total energies = -745 meV/atom

abc: 4.0866 6.2902 12.4875
angles: 90.00 90.00 90.00
With the nearest neighbours (Å) after each atom.
Space group Immm (No. 71)
Unique sites:
Sr 0.0000 0.0000 0.1850 (multiplicity 4)  2 Se 3.08
Ca 0.0000 0.5000 0.0000 (multiplicity 2)  4 Se 3.75, 4 Sr 3.90, 2 Ca 4.09
Se 0.0000 0.5000 0.5000 (multiplicity 2)  4 Sr 3.08

---

[2]
A plane-wave DFT calculation with PBE was carried out for a relaxed structure of SrCaSe2.

Calculated values
Size of the total moment = 0.00 Bohr magnetons per cell
Polymorph energy (0 for the lowest one) = 790.8 meV per atom
Theoretical density = 3.1 g/cm³
Formation energy from raw total energies = -1251 meV/atom

abc: 4.5590 4.5590 25.8115
angles: 90.00 90.00 120.00
With the nearest neighbours (Å) after each atom.
Space group R-3m (No. 166, hexagonal axes)
Unique sites:
Sr 0.0000 0.0000 0.0000 (multiplicity 3)  2 Se 2.82
Ca 0.0000 0.0000 0.5000 (multiplicity 3)  6 Se 3.02
Se 0.0000 0.0000 0.1091 (multiplicity 6)  1 Sr 2.82, 3 Ca 3.02

---

[3]
A plane-wave DFT calculation with PBE was carried out for a relaxed structure of Sr2CaSe.

Calculated values
Size of the total moment = 0.00 Bohr magnetons per cell
Theoretical density = 3.1 g/cm³
Formation energy from raw total energies = -819 meV/atom

abc: 4.1923 5.3117 14.0207
angles: 90.00 90.00 90.00
With the nearest neighbours (Å) after each atom.
Space group Amm2 (No. 38)
Unique sites:
Sr 0.0000 0.0000 0.0000 (multiplicity 2)  4 Se 3.43, 2 Ca 3.77
Sr 0.5000 0.0000 0.3186 (multiplicity 2)  1 Se 3.10
Ca 0.0000 0.0000 0.6909 (multiplicity 2)  2 Se 2.98
Se 0.5000 0.0000 0.5400 (multiplicity 2)  2 Ca 2.98, 1 Sr 3.10